1.
First-principles (PBE) data for a relaxed structure of Co4Ag3Se, as listed in OQMD.

a = 6.147 Å, b = 6.147 Å, c = 6.147 Å
α = 132.28°, β = 132.28°, γ = 69.79°
Positions (direct):
Ag 0.500 0.500 0.000
Ag 0.250 0.750 0.500
Ag 0.750 0.250 0.500
Co 0.000 0.500 0.500
Co 0.780 0.780 0.000
Co 0.500 0.000 0.500
Co 0.220 0.220 0.000
Se 0.000 0.000 0.000

Results
**SG**: No. 139



2.
First-principles (PBE) data for a relaxed structure of TlCoAgTe2Se, as listed in OQMD.

a = 7.465 Å, b = 7.465 Å, c = 10.682 Å
α = 90.00°, β = 90.00°, γ = 150.16°
Positions (direct):
Te 0.117 0.883 0.502
Te 0.117 0.883 0.998
Te 0.883 0.117 0.498
Te 0.883 0.117 0.002
Se 0.455 0.545 0.250
Se 0.545 0.455 0.750
Tl 0.752 0.248 0.250
Tl 0.248 0.752 0.750
Co 0.500 0.500 0.500
Co 0.500 0.500 0.000
Ag 0.088 0.912 0.250
Ag 0.912 0.088 0.750

Results
**SG**: No. 63



3.
First-principles (PBE) data for a relaxed structure of TlCoAgTeSe2, as listed in OQMD.

a = 7.900 Å, b = 7.900 Å, c = 10.509 Å
α = 90.00°, β = 90.00°, γ = 154.00°
Positions (direct):
Ag 0.873 0.127 0.750
Ag 0.127 0.873 0.250
Se 0.104 0.896 0.007
Se 0.104 0.896 0.493
Se 0.896 0.104 0.993
Se 0.896 0.104 0.507
Tl 0.785 0.215 0.250
Tl 0.215 0.785 0.750
Co 0.500 0.500 0.500
Co 0.500 0.500 0.000
Te 0.533 0.467 0.750
Te 0.467 0.533 0.250

Results
**SG**: No. 63



4.
First-principles (PBE) data for a relaxed structure of Co3Si5Ag, as listed in OQMD.

a = 4.861 Å, b = 4.861 Å, c = 5.985 Å
α = 90.00°, β = 90.00°, γ = 120.00°
Positions (direct):
Si 0.667 0.333 0.804
Si 0.000 0.000 0.500
Si 0.333 0.667 0.196
Si 0.333 0.667 0.804
Si 0.667 0.333 0.196
Ag 0.000 0.000 0.000
Co 0.000 0.500 0.500
Co 0.500 0.000 0.500
Co 0.500 0.500 0.500

Results
**SG**: No. 191



5.
First-principles (PBE) data for a relaxed structure of SmCoSi2Ag, as listed in OQMD.

a = 5.874 Å, b = 5.874 Å, c = 5.874 Å
α = 139.24°, β = 139.24°, γ = 59.00°
Positions (direct):
Si 0.116 0.116 0.000
Si 0.884 0.884 0.000
Ag 0.750 0.250 0.500
Sm 0.500 0.500 0.000
Co 0.250 0.750 0.500

Results
**SG**: No. 119



6.
First-principles (PBE) data for a relaxed structure of TaCoSiAg, as listed in OQMD.

a = 4.361 Å, b = 4.361 Å, c = 4.361 Å
α = 60.00°, β = 60.00°, γ = 60.00°
Positions (direct):
Si 0.000 0.000 0.000
Co 0.750 0.750 0.750
Ta 0.500 0.500 0.500
Ag 0.250 0.250 0.250

Results
**Polymorph energy (0 for the lowest one)**: 21 meV per atom
**SG**: No. 216



7.
First-principles (PBE) data for a relaxed structure of TaCoSiAg, as listed in OQMD.

a = 4.363 Å, b = 4.363 Å, c = 4.363 Å
α = 60.00°, β = 60.00°, γ = 60.00°
Positions (direct):
Si 0.000 0.000 0.000
Ag 0.500 0.500 0.500
Ta 0.250 0.250 0.250
Co 0.750 0.750 0.750

Results
**Polymorph energy (0 for the lowest one)**: 0 meV per atom
**SG**: No. 216



8.
First-principles (PBE) data for a relaxed structure of CoSiTcAg, as listed in OQMD.

a = 4.255 Å, b = 4.255 Å, c = 4.255 Å
α = 60.00°, β = 60.00°, γ = 60.00°
Positions (direct):
Tc 0.250 0.250 0.250
Si 0.000 0.000 0.000
Ag 0.500 0.500 0.500
Co 0.750 0.750 0.750

Results
**Polymorph energy (0 for the lowest one)**: 0 meV per atom
**SG**: No. 216



9.
First-principles (PBE) data for a relaxed structure of CoSiAgW, as listed in OQMD.

a = 4.308 Å, b = 4.308 Å, c = 4.308 Å
α = 60.00°, β = 60.00°, γ = 60.00°
Positions (direct):
Co 0.750 0.750 0.750
Si 0.000 0.000 0.000
W 0.250 0.250 0.250
Ag 0.500 0.500 0.500

Results
**Polymorph energy (0 for the lowest one)**: 0 meV per atom
**SG**: No. 216



10.
First-principles (PBE) data for a relaxed structure of Co3AgSn5, as listed in OQMD.

a = 5.271 Å, b = 5.271 Å, c = 7.293 Å
α = 90.00°, β = 90.00°, γ = 120.00°
Positions (direct):
Ag 0.000 0.000 0.000
Co 0.000 0.500 0.500
Co 0.500 0.500 0.500
Co 0.500 0.000 0.500
Sn 0.667 0.333 0.792
Sn 0.333 0.667 0.792
Sn 0.000 0.000 0.500
Sn 0.667 0.333 0.208
Sn 0.333 0.667 0.208

Results
**SG**: No. 191



11.
First-principles (PBE) data for a relaxed structure of CoAg2Sn, as listed in OQMD.

a = 4.567 Å, b = 4.567 Å, c = 4.567 Å
α = 60.00°, β = 60.00°, γ = 60.00°
Positions (direct):
Ag 0.000 0.000 0.000
Ag 0.750 0.750 0.750
Sn 0.500 0.500 0.500
Co 0.250 0.250 0.250

Results
**SG**: No. 216



12.
First-principles (PBE) data for a relaxed structure of CoAgSn, as listed in OQMD.

a = 4.286 Å, b = 4.286 Å, c = 4.286 Å
α = 60.00°, β = 60.00°, γ = 60.00°
Positions (direct):
Ag 0.250 0.250 0.250
Sn 0.750 0.750 0.750
Co 0.000 0.000 0.000

Results
**Polymorph energy (0 for the lowest one)**: 0 meV per atom
**SG**: No. 216



Number 1: uncorrected energy -4.25 eV per atom. Number 2: uncorrected energy -3.69 eV per atom. Number 3: uncorrected energy -3.86 eV per atom. Number 4: uncorrected energy -5.82 eV per atom. Number 5: uncorrected energy -5.56 eV per atom. Number 6: uncorrected energy -6.55 eV per atom. Number 7: uncorrected energy -6.57 eV per atom. Number 8: uncorrected energy -6.19 eV per atom. Number 9: uncorrected energy -6.62 eV per atom. Number 10: uncorrected energy -4.87 eV per atom. Number 11: uncorrected energy -3.97 eV per atom. Number 12: uncorrected energy -4.44 eV per atom.